(1)
Compound: Tc2Sn2Sb
Source: Alexandria via LeMat-Bulk
Functional: GGA-PBE
Structure: relaxed

```
Tc2Sn2Sb
1.0
-1.9917 1.9917 6.4936
1.9917 -1.9917 6.4936
1.9917 1.9917 -6.4936
Tc Sn Sb
2 2 1
Cartesian
0.0000 0.0000 1.3191
0.0000 0.0000 11.6681
1.9917 0.0000 3.2468
0.0000 1.9917 3.2468
0.0000 0.0000 6.4936
```

Properties
Relative energy among the computed polymorphs ... 20.4 kJ/mol of atoms
Formation energy (no corrections) ... 0.441 eV/atom
Crystal system ... tetragonal
Space group ... I4/mmm (139)

---

(2)
Compound: TcSn3Sb
Source: Alexandria via LeMat-Bulk
Functional: GGA-PBE
Structure: relaxed

```
TcSn3Sb
1.0
5.6470 0.0000 0.0000
0.0000 5.6470 0.0000
0.0000 0.0000 5.6470
Tc Sn Sb
1 3 1
Cartesian
0.0000 0.0000 0.0000
0.0000 2.8235 2.8235
2.8235 0.0000 2.8235
2.8235 2.8235 0.0000
2.8235 2.8235 2.8235
```

Properties
Relative energy among the computed polymorphs ... 112.5 kJ/mol of atoms
Formation energy (no corrections) ... 1.482 eV/atom
Crystal system ... cubic
Space group ... Pm-3m (221)

---

(3)
Compound: TcSn2Sb
Source: Alexandria via LeMat-Bulk
Functional: GGA-PBE
Structure: relaxed

```
TcSn2Sb
1.0
-3.1636 3.1636 6.4833
3.1636 -3.1636 6.4833
3.1636 3.1636 -6.4833
Tc Sn Sb
2 4 2
Cartesian
0.0000 0.0000 0.0000
0.0000 3.1636 3.2416
4.7455 1.2922 -1.6208
1.2922 1.5818 1.6208
-1.5818 1.8715 4.8625
1.8715 1.5818 8.1041
3.1636 0.0000 3.2416
0.0000 0.0000 6.4833
```

Properties
Formation energy (no corrections) ... 0.660 eV/atom
Crystal system ... tetragonal
Space group ... I-42d (122)

---

(4)
Compound: TcSn2Sb
Source: Alexandria via LeMat-Bulk
Functional: GGA-PBE
Structure: relaxed

```
TcSn2Sb
1.0
6.5972 0.0000 0.0000
0.0000 3.3684 0.0000
-0.9129 0.0000 8.2033
Tc Sn Sb
2 4 2
Cartesian
0.5048 0.8421 2.1715
5.1795 2.5263 6.0318
0.2432 0.8421 7.5106
2.6650 2.5263 1.8074
3.0192 0.8421 6.3958
5.4411 2.5263 0.6927
0.8510 2.5263 4.3700
4.8333 0.8421 3.8332
```

Properties
Formation energy (no corrections) ... 0.016 eV/atom
Crystal system ... monoclinic
Space group ... P2_1/m (11)

---

(5)
Compound: Tc2SnSb
Source: Alexandria via LeMat-Bulk
Functional: GGA-PBE
Structure: relaxed

```
Tc2SnSb
1.0
3.2634 0.0000 0.0000
0.0000 3.2634 0.0000
0.0000 0.0000 6.5305
Tc Sn Sb
2 1 1
Cartesian
0.0000 0.0000 1.6082
0.0000 0.0000 4.9223
1.6317 1.6317 3.2653
1.6317 1.6317 0.0000
```

Properties
Relative energy among the computed polymorphs ... 0.0 kJ/mol of atoms
Formation energy (no corrections) ... 0.143 eV/atom
Crystal system ... tetragonal
Space group ... P4/mmm (123)

---

(6)
Compound: TcSn2Sb2
Source: Alexandria via LeMat-Bulk
Functional: GGA-PBE
Structure: relaxed

```
TcSn2Sb2
1.0
-1.9318 1.9318 8.8766
1.9318 -1.9318 8.8766
1.9318 1.9318 -8.8766
Tc Sn Sb
1 2 2
Cartesian
0.0000 0.0000 0.0000
1.9318 0.0000 4.4383
0.0000 1.9318 4.4383
0.0000 0.0000 7.4244
0.0000 0.0000 10.3287
```

Properties
Relative energy among the computed polymorphs ... 35.4 kJ/mol of atoms
Formation energy (no corrections) ... 0.657 eV/atom
Crystal system ... tetragonal
Space group ... I4/mmm (139)

---

(7)
Compound: TcSnSb
Source: Alexandria via LeMat-Bulk
Functional: GGA-PBE
Structure: relaxed

```
TcSnSb
1.0
4.7455 0.0000 0.0000
0.0000 3.1368 4.5760
0.0000 -3.1368 4.5760
Tc Sn Sb
2 2 2
Cartesian
0.0000 -1.5815 4.5760
0.0000 1.5815 4.5760
0.0000 0.0000 2.3233
2.3728 0.0000 4.3094
0.0000 0.0000 6.8813
2.3728 0.0000 0.4923
```

Properties
Relative energy among the computed polymorphs ... 18.0 kJ/mol of atoms
Formation energy (no corrections) ... 0.299 eV/atom
Crystal system ... orthorhombic
Space group ... Amm2 (38)

---

(8)
Compound: Tc2SnSb
Source: Alexandria via LeMat-Bulk
Functional: GGA-PBE
Structure: relaxed

```
Tc2SnSb
1.0
-3.6812 3.6812 3.0447
3.6812 -3.6812 3.0447
3.6812 3.6812 -3.0447
Tc Sn Sb
4 2 2
Cartesian
5.5218 1.7204 -0.7612
1.7204 1.8406 0.7612
-1.8406 1.9608 2.2835
1.9608 1.8406 3.8059
3.6812 0.0000 1.5224
0.0000 0.0000 3.0447
0.0000 0.0000 0.0000
0.0000 3.6812 1.5224
```

Properties
Relative energy among the computed polymorphs ... 66.3 kJ/mol of atoms
Formation energy (no corrections) ... 0.831 eV/atom
Crystal system ... tetragonal
Space group ... I-42d (122)

---

(9)
Compound: Tc2SnSb
Source: Alexandria via LeMat-Bulk
Functional: GGA-PBE
Structure: relaxed

```
Tc2SnSb
1.0
0.0000 3.2636 3.2636
3.2636 0.0000 3.2636
3.2636 3.2636 0.0000
Tc Sn Sb
2 1 1
Cartesian
1.6318 1.6318 1.6318
4.8953 4.8953 4.8953
0.0000 0.0000 0.0000
3.2636 3.2636 3.2636
```

Properties
Relative energy among the computed polymorphs ... 0.1 kJ/mol of atoms
Formation energy (no corrections) ... 0.144 eV/atom
Crystal system ... cubic
Space group ... Fm-3m (225)

---

(10)
Compound: TcSnSb3
Source: Alexandria via LeMat-Bulk
Functional: GGA-PBE
Structure: relaxed

```
TcSnSb3
1.0
5.5697 0.0000 0.0000
0.0000 5.5697 0.0000
0.0000 0.0000 5.5697
Tc Sn Sb
1 1 3
Cartesian
0.0000 0.0000 0.0000
2.7848 2.7848 2.7848
0.0000 2.7848 2.7848
2.7848 0.0000 2.7848
2.7848 2.7848 0.0000
```

Properties
Relative energy among the computed polymorphs ... 105.9 kJ/mol of atoms
Formation energy (no corrections) ... 1.540 eV/atom
Crystal system ... cubic
Space group ... Pm-3m (221)

---

(11)
Compound: TcSnSb3
Source: Alexandria via LeMat-Bulk
Functional: GGA-PBE
Structure: relaxed

```
TcSnSb3
1.0
5.1921 0.0000 0.0000
0.0000 5.1921 0.0000
0.0000 0.0000 5.1921
Tc Sn Sb
1 1 3
Cartesian
0.0000 0.0000 0.0000
2.5961 2.5961 2.5961
0.0000 0.0000 2.5961
0.0000 2.5961 0.0000
2.5961 0.0000 0.0000
```

Properties
Relative energy among the computed polymorphs ... 0.0 kJ/mol of atoms
Formation energy (no corrections) ... 0.442 eV/atom
Crystal system ... cubic
Space group ... Pm-3m (221)

---

(12)
Compound: TcSnSb
Source: Alexandria via LeMat-Bulk
Functional: GGA-PBE
Structure: relaxed

```
TcSnSb
1.0
-1.6237 1.6237 6.1918
1.6237 -1.6237 6.1918
1.6237 1.6237 -6.1918
Tc Sn Sb
1 1 1
Cartesian
0.0000 0.0000 0.0000
0.0000 0.0000 4.4449
0.0000 0.0000 7.7547
```

Properties
Relative energy among the computed polymorphs ... 0.0 kJ/mol of atoms
Formation energy (no corrections) ... 0.112 eV/atom
Crystal system ... tetragonal
Space group ... I4mm (107)

---

(13)
Compound: TcSnSbTe2
Source: Alexandria via LeMat-Bulk
Functional: GGA-PBE
Structure: relaxed

```
TcSnSbTe2
1.0
5.3376 0.0000 0.0000
0.0000 5.3376 0.0000
0.0000 0.0000 5.0874
Tc Sn Sb Te
1 1 1 2
Cartesian
0.0000 0.0000 0.0000
2.6688 2.6688 2.5437
0.0000 0.0000 2.5437
0.0000 2.6688 0.0000
2.6688 0.0000 0.0000
```

Properties
Relative energy among the computed polymorphs ... 0.0 kJ/mol of atoms
Formation energy (no corrections) ... 0.449 eV/atom
Crystal system ... tetragonal
Space group ... P4/mmm (123)

---

(14)
Compound: TcSnSbTe2
Source: Alexandria via LeMat-Bulk
Functional: GGA-PBE
Structure: relaxed

```
TcSnSbTe2
1.0
5.6558 0.0000 0.0000
0.0000 5.6558 0.0000
0.0000 0.0000 5.6185
Tc Sn Sb Te
1 1 1 2
Cartesian
0.0000 0.0000 0.0000
2.8279 2.8279 2.8092
2.8279 2.8279 0.0000
0.0000 2.8279 2.8092
2.8279 0.0000 2.8092
```

Properties
Relative energy among the computed polymorphs ... 84.0 kJ/mol of atoms
Formation energy (no corrections) ... 1.320 eV/atom
Crystal system ... tetragonal
Space group ... P4/mmm (123)

---

(15)
Compound: Sn4SbTe5
Source: Alexandria via LeMat-Bulk
Functional: GGA-PBE
Structure: relaxed

```
Sn4SbTe5
1.0
-5.0518 5.0518 3.1876
5.0518 -5.0518 3.1876
5.0518 5.0518 -3.1876
Sn Sb Te
4 1 5
Cartesian
7.0485 0.9973 0.0000
0.9973 3.0551 0.0000
4.0545 1.9967 3.1876
-1.9967 4.0545 3.1876
0.0000 0.0000 3.1876
0.0000 0.0000 0.0000
4.0457 2.0504 0.0000
3.0013 -1.0060 3.1876
2.0504 6.0578 0.0000
1.0060 3.0013 3.1876
```

Properties
Formation energy (no corrections) ... -0.204 eV/atom
Crystal system ... tetragonal
Space group ... I4/m (87)

---

(16)
Compound: SnSbTe2
Source: Alexandria via LeMat-Bulk
Functional: GGA-PBE
Structure: relaxed

```
SnSbTe2
1.0
2.1027 1.2140 8.3029
-2.1027 1.2140 8.3029
0.0000 -2.4280 8.3029
Sn Sb Te
1 1 2
Cartesian
0.0000 0.0000 0.0000
0.0000 0.0000 4.2017
0.0000 0.0000 14.4998
0.0000 0.0000 18.8176
```

Properties
Formation energy (no corrections) ... -0.052 eV/atom
Crystal system ... trigonal
Space group ... R3m (160)

---

(17)
Compound: SnSbTe2
Source: Alexandria via LeMat-Bulk
Functional: GGA-PBE
Structure: relaxed

```
SnSbTe2
1.0
2.2915 -12.3761 0.0000
2.2915 12.3761 0.0000
0.0000 0.0000 4.4507
Sn Sb Te
2 2 4
Cartesian
2.2915 7.7810 3.3380
2.2915 -7.7810 1.1127
2.2915 1.3848 3.3380
2.2915 -1.3848 1.1127
2.2915 10.7946 3.3380
2.2915 4.4146 3.3380
2.2915 -4.4146 1.1127
2.2915 -10.7946 1.1127
```

Properties
Formation energy (no corrections) ... -0.100 eV/atom
Crystal system ... orthorhombic
Space group ... Cmcm (63)

---

(18)
Compound: Sn3Sb5Te12
Source: Alexandria via LeMat-Bulk
Functional: GGA-PBE
Structure: relaxed

```
Sn3Sb5Te12
1.0
-9.1175 9.1175 9.1175
9.1175 -9.1175 9.1175
9.1175 9.1175 -9.1175
Sn Sb Te
12 20 48
Cartesian
4.5587 2.2794 0.0000
9.1175 4.5587 -2.2794
2.2794 0.0000 4.5587
11.3969 0.0000 4.5587
0.0000 4.5587 2.2794
4.5587 -2.2794 9.1175
4.5587 11.3969 0.0000
9.1175 4.5587 6.8381
-2.2794 9.1175 4.5587
6.8381 9.1175 4.5587
0.0000 4.5587 11.3969
4.5587 6.8381 9.1175
0.0000 0.0000 0.0000
4.5587 4.5587 -4.5587
4.5587 -4.5587 4.5587
9.1175 0.0000 0.0000
13.6762 2.2794 0.0000
9.1175 -4.5587 6.8381
6.8381 9.1175 -4.5587
6.8381 0.0000 4.5587
4.5587 6.8381 0.0000
9.1175 4.5587 2.2794
-4.5587 4.5587 4.5587
0.0000 9.1175 0.0000
0.0000 0.0000 9.1175
4.5587 4.5587 4.5587
0.0000 4.5587 6.8381
4.5587 2.2794 9.1175
2.2794 9.1175 4.5587
2.2794 0.0000 13.6762
0.0000 13.6762 2.2794
-4.5587 6.8381 9.1175
2.7646 -0.3541 1.2321
10.9116 5.7909 -4.9128
8.7634 -1.2321 2.7646
14.0303 -1.7941 3.3266
11.8821 0.3541 1.2321
10.9116 -3.3266 4.9128
1.2321 2.7646 -0.3541
12.4441 4.2047 -1.7941
5.7909 4.9128 -1.7941
7.8853 2.7646 0.3541
-0.3541 1.2321 2.7646
4.9128 -1.7941 5.7909
8.7634 7.8853 -2.7646
4.9128 1.7941 3.3266
7.8853 -2.7646 8.7634
5.7909 -4.9128 10.9116
3.3266 4.9128 1.7941
10.3496 6.3529 0.3541
2.7646 8.7634 -1.2321
10.9116 3.3266 4.2047
4.9128 10.9116 -3.3266
8.7634 1.2321 6.3529
1.7941 3.3266 4.9128
2.7646 0.3541 7.8853
6.3529 8.7634 1.2321
7.3234 5.7909 4.2047
0.3541 7.8853 2.7646
4.2047 -1.7941 12.4441
-1.7941 5.7909 4.9128
6.3529 0.3541 10.3496
-1.2321 2.7646 8.7634
5.7909 4.2047 7.3234
3.3266 14.0303 -1.7941
1.2321 11.8821 0.3541
4.2047 7.3234 5.7909
0.3541 1.2321 11.8821
4.2047 10.9116 3.3266
9.4716 7.8853 6.3529
1.2321 6.3529 8.7634
3.3266 4.2047 10.9116
-3.3266 4.9128 10.9116
7.8853 6.3529 9.4716
-1.7941 12.4441 4.2047
-2.7646 8.7634 7.8853
-4.9128 10.9116 5.7909
0.3541 10.3496 6.3529
-1.7941 3.3266 14.0303
6.3529 9.4716 7.8853
```

Properties
Formation energy (no corrections) ... 0.016 eV/atom
Crystal system ... cubic
Space group ... Ia-3d (230)

---

(19)
Compound: SnSb2Te5
Source: Alexandria via LeMat-Bulk
Functional: GGA-PBE
Structure: relaxed

```
SnSb2Te5
1.0
3.1132 -7.4710 0.0000
3.1132 7.4710 0.0000
0.0000 0.0000 12.8097
Sn Sb Te
2 4 10
Cartesian
3.1132 4.3672 9.6073
3.1132 -4.3672 3.2024
3.1132 4.7799 0.8743
3.1132 4.7799 5.5305
3.1132 -4.7799 7.2792
3.1132 -4.7799 11.9354
3.1132 6.9541 7.7667
3.1132 6.9541 11.4478
3.1132 2.8401 3.2024
3.1132 2.3926 7.3141
3.1132 2.3926 11.9004
3.1132 -2.3926 0.9093
3.1132 -2.3926 5.4956
3.1132 -2.8401 9.6073
3.1132 -6.9541 1.3619
3.1132 -6.9541 5.0430
```

Properties
Formation energy (no corrections) ... -0.020 eV/atom
Crystal system ... orthorhombic
Space group ... Cmcm (63)

---

(20)
Compound: Sn2Sb2Te
Source: Alexandria via LeMat-Bulk
Functional: GGA-PBE
Structure: relaxed

```
Sn2Sb2Te
1.0
8.7651 0.0000 0.0000
0.0000 8.7651 0.0000
0.0000 0.0000 3.7319
Sn Sb Te
4 4 2
Cartesian
1.3623 3.0203 0.0000
3.0203 7.4028 0.0000
5.7448 1.3623 0.0000
7.4028 5.7448 0.0000
1.2861 5.6687 1.8660
3.0964 1.2861 1.8660
5.6687 7.4790 1.8660
7.4790 3.0964 1.8660
0.0000 0.0000 0.0000
4.3825 4.3825 0.0000
```

Properties
Relative energy among the computed polymorphs ... 10.6 kJ/mol of atoms
Formation energy (no corrections) ... 0.150 eV/atom
Crystal system ... tetragonal
Space group ... P4/mbm (127)